Entry 1:
# GaCu3Pt

An optimized crystal structure of GaCu3Pt (PBE-GGA, Alexandria).

It has space group Pm-3m (No. 221), with a = 4.733 Å, b = 4.733 Å, c = 4.733 Å, α = 90.00°, β = 90.00° and γ = 90.00°. The asymmetric unit holds Ga at (0.000, 0.000, 0.000), Cu at (0.000, 0.500, 0.500) and Pt at (0.500, 0.500, 0.500).

Its density of states at the Fermi level is 2.96 states/eV/cell. As for the size of the total moment: 0.000 μB per atom. The calculation puts the polymorph energy (0 for the lowest one) at 799 meV/atom. As for the formation energy: 0.710 eV/atom.


Entry 2:
# Pr2TiAl2Pt5

An optimized crystal structure of Pr2TiAl2Pt5 (PBE-GGA, Alexandria).

It has space group P4/mbm (No. 127), with a = 10.580 Å, b = 10.580 Å, c = 3.344 Å, α = 90.00°, β = 90.00° and γ = 90.00°. The asymmetric unit holds Pr at (0.176, 0.324, 0.000), Ti at (0.000, 0.000, 0.000), Al at (0.127, 0.627, 0.000), Pt at (0.000, 0.500, 0.500) and Pt at (0.051, 0.804, 0.500).

Its density of states at the Fermi level is 13.24 states/eV/cell. As for the size of the total moment: 0.000 μB per atom. As for the formation energy: -0.941 eV/atom.


Entry 3:
# La3FeMo

An optimized crystal structure of La3FeMo (PBE-GGA, Alexandria).

It has space group Pm-3m (No. 221), with a = 5.149 Å, b = 5.149 Å, c = 5.149 Å, α = 90.00°, β = 90.00° and γ = 90.00°. The asymmetric unit holds La at (0.000, 0.000, 0.500), Fe at (0.000, 0.000, 0.000) and Mo at (0.500, 0.500, 0.500).

Its density of states at the Fermi level is 14.71 states/eV/cell. As for the size of the total moment: 0.001 μB per atom. As for the formation energy: 0.698 eV/atom.